(1)
The following is a DFT calculation (PBE-GGA) of a relaxed MnAgRh2 crystal.

Computed properties:
Its space-group type is No. 8. The calculation puts the energy above the most stable polymorph in this dataset at 2.18 kcal/mol of atoms. The calculation puts the density of states at the Fermi level at 4.756 states/eV/f.u.

a = 9.1703 Å, b = 2.8483 Å, c = 4.7438 Å
α = 90.00°, β = 102.18°, γ = 90.00°
Atoms (fractional coordinates):
Mn  0.0000  0.0000  0.0000
Mn  0.5000  0.5000  0.0000
Ag  0.2554  0.5000  0.2404
Ag  0.7554  0.0000  0.2404
Rh  0.0137  0.5000  0.5289
Rh  0.2589  0.0000  0.7383
Rh  0.5137  0.0000  0.5289
Rh  0.7589  0.5000  0.7383

=====

(2)
The following is a DFT calculation (PBE-GGA) of a relaxed SiAs2Br crystal.

Computed properties:
Its space-group type is No. 71. Its energy relative to the elements, uncorrected is 1.634 eV/f.u. The calculation puts the energy above the most stable polymorph in this dataset at 8.10 kcal/mol of atoms. The calculation puts the density of states at the Fermi level at 1.548 states/eV/f.u.

a = 3.2921 Å, b = 4.8910 Å, c = 10.2683 Å
α = 90.00°, β = 90.00°, γ = 90.00°
Atoms (fractional coordinates):
Si  0.0000  0.0000  0.0000
Si  0.5000  0.5000  0.5000
As  0.0000  0.5000  0.2996
As  0.0000  0.5000  0.7004
As  0.5000  0.0000  0.2004
As  0.5000  0.0000  0.7996
Br  0.0000  0.0000  0.5000
Br  0.5000  0.5000  0.0000

=====

(3)
The following is a DFT calculation (PBE-GGA) of a relaxed RbBi3Rh crystal.

Computed properties:
Its space-group type is No. 221. The calculation puts the energy above the most stable polymorph in this dataset at 7.55 kcal/mol of atoms. The calculation puts the density of states at the Fermi level at 3.438 states/eV/f.u.

a = 5.5042 Å, b = 5.5042 Å, c = 5.5042 Å
α = 90.00°, β = 90.00°, γ = 90.00°
Atoms (fractional coordinates):
Rb  0.0000  0.0000  0.0000
Bi  0.0000  0.5000  0.5000
Bi  0.5000  0.0000  0.5000
Bi  0.5000  0.5000  0.0000
Rh  0.5000  0.5000  0.5000

=====

(4)
The following is a DFT calculation (PBE-GGA) of a relaxed LaCeSiAu crystal.

Computed properties:
Its space-group type is No. 216. Its energy relative to the elements, uncorrected is -2.251 eV/f.u. The calculation puts the density of states at the Fermi level at 9.326 states/eV/f.u.

a = 7.4256 Å, b = 7.4256 Å, c = 7.4256 Å
α = 90.00°, β = 90.00°, γ = 90.00°
Atoms (fractional coordinates):
La  0.0000  0.0000  0.0000
La  0.0000  0.5000  0.5000
La  0.5000  0.0000  0.5000
La  0.5000  0.5000  0.0000
Ce  0.0000  0.0000  0.5000
Ce  0.0000  0.5000  0.0000
Ce  0.5000  0.0000  0.0000
Ce  0.5000  0.5000  0.5000
Si  0.2500  0.2500  0.2500
Si  0.2500  0.7500  0.7500
Si  0.7500  0.2500  0.7500
Si  0.7500  0.7500  0.2500
Au  0.2500  0.2500  0.7500
Au  0.2500  0.7500  0.2500
Au  0.7500  0.2500  0.2500
Au  0.7500  0.7500  0.7500

=====

(5)
The following is a DFT calculation (PBE-GGA) of a relaxed TlCd3Br7 crystal.

Computed properties:
Its space-group type is No. 12. Its energy relative to the elements, uncorrected is -8.966 eV/f.u. The calculation puts the density of states at the Fermi level at 0.000 states/eV/f.u.

a = 7.6721 Å, b = 7.6721 Å, c = 7.0373 Å
α = 90.19°, β = 90.19°, γ = 75.60°
Atoms (fractional coordinates):
Tl  0.0000  0.0000  0.0000
Cd  0.2981  0.7019  0.5000
Cd  0.5000  0.5000  0.0000
Cd  0.7019  0.2981  0.5000
Br  0.0000  0.0000  0.5000
Br  0.1642  0.5858  0.8170
Br  0.3619  0.3619  0.3265
Br  0.4142  0.8358  0.1830
Br  0.5858  0.1642  0.8170
Br  0.6381  0.6381  0.6735
Br  0.8358  0.4142  0.1830

=====

(6)
The following is a DFT calculation (PBE-GGA) of a relaxed BaSrTePb2 crystal.

Computed properties:
Its space-group type is No. 123. Its energy relative to the elements, uncorrected is 3.323 eV/f.u. The calculation puts the density of states at the Fermi level at 10.161 states/eV/f.u.

a = 6.1835 Å, b = 6.1835 Å, c = 6.8937 Å
α = 90.00°, β = 90.00°, γ = 90.00°
Atoms (fractional coordinates):
Ba  0.0000  0.0000  0.0000
Sr  0.0000  0.0000  0.5000
Te  0.5000  0.5000  0.5000
Pb  0.0000  0.5000  0.0000
Pb  0.5000  0.0000  0.0000

=====

(7)
The following is a DFT calculation (PBE-GGA) of a relaxed NbCuBCl2 crystal.

Computed properties:
Its space-group type is No. 123. Its energy relative to the elements, uncorrected is 6.535 eV/f.u. The calculation puts the density of states at the Fermi level at 9.584 states/eV/f.u.

a = 4.2772 Å, b = 4.2772 Å, c = 5.7151 Å
α = 90.00°, β = 90.00°, γ = 90.00°
Atoms (fractional coordinates):
Nb  0.0000  0.0000  0.0000
Cu  0.0000  0.0000  0.5000
B  0.5000  0.5000  0.0000
Cl  0.0000  0.5000  0.5000
Cl  0.5000  0.0000  0.5000

=====

(8)
The following is a DFT calculation (PBE-GGA) of a relaxed TlCuSn crystal.

Computed properties:
Its space-group type is No. 1. The calculation puts the electronic total energy at -3.440 eV/atom. The calculation puts the density of states at the Fermi level at 1.178 states/eV/f.u.

a = 4.2745 Å, b = 5.0275 Å, c = 7.2843 Å
α = 90.00°, β = 106.90°, γ = 90.00°
Atoms (fractional coordinates):
Tl  0.0000  0.0000  0.0000
Tl  0.3723  0.5000  0.7540
Cu  0.1849  0.2484  0.3770
Cu  0.1849  0.7485  0.3768
Sn  0.6096  0.4990  0.2245
Sn  0.7607  0.9991  0.5296

=====

no.,density (g/cm³)
1,10.11
2,5.18
3,8.12
4,8.18
5,4.56
6,4.83
7,3.78
8,8.57